Density functional theory data (GGA+U) for crystalline Ni2TeF at its relaxed geometry.

Output
- N(E_F) (states/eV/atom) = 0.482
- spin magnetization (Bohr magnetons per cell) = 4.18
- space group = I-42d (122)
- raw total energy (eV/atom) = -2.7933

The structure in CIF format:
```
data_Ni2TeF
_cell_length_a 6.275
_cell_length_b 6.275
_cell_length_c 5.598
_cell_angle_alpha 55.91
_cell_angle_beta 55.91
_cell_angle_gamma 90.00
_space_group_name_H-M_alt 'P 1'
_space_group_IT_number 1
loop_
_space_group_symop_operation_xyz
'x,y,z'
loop_
_atom_site_label
_atom_site_type_symbol
_atom_site_fract_x
_atom_site_fract_y
_atom_site_fract_z
Ni1 Ni 0.566 0.125 0.250
Ni2 Ni 0.184 0.625 0.250
Ni3 Ni 0.375 0.434 0.750
Ni4 Ni 0.875 0.816 0.750
Te1 Te 0.000 0.000 0.000
Te2 Te 0.750 0.250 0.500
F1 F 0.500 0.500 0.000
F2 F 0.250 0.750 0.500
```